Compound: Ba4NpN4
Source: Alexandria
Functional: PBE
Structure: optimized geometry

For the uncorrected formation energy, the calculation gives -0.529 eV per atom. Its spin magnetization is 5.3 μB per cell. Its energy is -6.52 eV per atom.

Cell and atoms, written as CIF:
```
data_Ba4NpN4
_cell_length_a 7.237
_cell_length_b 7.237
_cell_length_c 9.764
_cell_angle_alpha 90.00
_cell_angle_beta 90.00
_cell_angle_gamma 90.00
_symmetry_space_group_name_H-M 'P 42/n m c'
_symmetry_Int_Tables_number 137
loop_
_symmetry_equiv_pos_as_xyz
'x,y,z'
'-x,-y,-z'
'-y+1/2,x,z+1/2'
'y+1/2,-x,-z+1/2'
'-x+1/2,-y+1/2,z'
'x+1/2,y+1/2,-z'
'y,-x+1/2,z+1/2'
'-y,x+1/2,-z+1/2'
'x+1/2,-y,-z'
'-x+1/2,y,z'
'-y,-x,-z+1/2'
'y,x,z+1/2'
'-x,y+1/2,-z'
'x,-y+1/2,z'
'y+1/2,x+1/2,-z+1/2'
'-y+1/2,-x+1/2,z+1/2'
loop_
_atom_site_label
_atom_site_type_symbol
_atom_site_fract_x
_atom_site_fract_y
_atom_site_fract_z
_atom_site_occupancy
Ba1 Ba 0.006 0.250 0.073 1
Np1 Np 0.250 0.750 0.250 1
N1 N 0.047 0.750 0.403 1
```